# CuPt2Rh2 PBE relaxed
data_CuPt2Rh2
_space_group_name_H-M_alt 'P 1'
_space_group_IT_number 1
_space_group_name_Hall 'P 1'
_cell_length_a 3.8790
_cell_length_b 4.7188
_cell_length_c 4.7391
_cell_angle_alpha 80.43
_cell_angle_beta 65.86
_cell_angle_gamma 65.81
loop_
_atom_site_label
_atom_site_type_symbol
_atom_site_fract_x
_atom_site_fract_y
_atom_site_fract_z
Cu1 Cu 0.0000 0.0000 0.0000
Pt1 Pt 0.2037 0.3982 0.1942
Pt2 Pt 0.7963 0.6018 0.8058
Rh1 Rh 0.3928 0.8026 0.4113
Rh2 Rh 0.6072 0.1974 0.5887
# - calculated formation energy (meV/atom) = -45.4
# - space-group type = P-1, No. 2
# - distance to the lowest polymorph of the same formula (meV/atom) = 0

# LiTmNb4N8 PBE relaxed
data_LiTmNb4N8
_space_group_name_H-M_alt 'P 1'
_space_group_IT_number 1
_space_group_name_Hall 'P 1'
_cell_length_a 6.3474
_cell_length_b 6.3474
_cell_length_c 6.3474
_cell_angle_alpha 59.93
_cell_angle_beta 59.93
_cell_angle_gamma 59.93
loop_
_atom_site_label
_atom_site_type_symbol
_atom_site_fract_x
_atom_site_fract_y
_atom_site_fract_z
Li1 Li 0.0000 0.0000 0.0000
Tm1 Tm 0.6188 0.6188 0.6188
Nb1 Nb 0.3756 0.3756 0.3756
Nb2 Nb 0.5135 0.9970 0.9970
Nb3 Nb 0.9970 0.5135 0.9970
Nb4 Nb 0.9970 0.9970 0.5135
N1 N 0.1984 0.7551 0.7551
N2 N 0.2393 0.2393 0.2393
N3 N 0.2571 0.2571 0.7525
N4 N 0.2571 0.7525 0.2571
N5 N 0.7525 0.2571 0.2571
N6 N 0.7551 0.1984 0.7551
N7 N 0.7551 0.7551 0.1984
N8 N 0.7598 0.7598 0.7598
# - space-group type = R3m, No. 160
# - formation energy from raw total energies (kJ/mol of atoms) = -81

# RbNaHf3 PBE relaxed
data_RbNaHf3
_space_group_name_H-M_alt 'P 1'
_space_group_IT_number 1
_space_group_name_Hall 'P 1'
_cell_length_a 5.2970
_cell_length_b 5.2970
_cell_length_c 5.2970
_cell_angle_alpha 90.00
_cell_angle_beta 90.00
_cell_angle_gamma 90.00
loop_
_atom_site_label
_atom_site_type_symbol
_atom_site_fract_x
_atom_site_fract_y
_atom_site_fract_z
Rb1 Rb 0.0000 0.0000 0.0000
Na1 Na 0.5000 0.5000 0.5000
Hf1 Hf 0.0000 0.5000 0.5000
Hf2 Hf 0.5000 0.0000 0.5000
Hf3 Hf 0.5000 0.5000 0.0000
# - calculated formation energy (meV/atom) = 1893.1
# - space-group type = Pm-3m, No. 221

Number 1: energy -6.221 eV/atom, size of the total moment 0.0 μB per formula unit. Number 2: energy -8.930 eV/atom, size of the total moment 0.0 μB per formula unit. Number 3: energy -4.536 eV/atom, size of the total moment 0.0 μB per formula unit.